No. 1
The following is a PBE-GGA calculation of a geometry-optimized GdTmNi2Ge4 structure, from the Open Quantum Materials Database.

Computed properties:
As for the symmetry: Amm2, No. 38. The magnetic moment is 0.000 μB/atom.

```
GdTmNi2Ge4
1.0
4.186 0.000 0.000
0.000 2.047 8.373
0.000 -2.047 8.373
Tm Ni Gd Ge
1 2 1 4
direct
0.500 0.109 0.109
0.000 0.678 0.678
0.500 0.322 0.322
0.000 0.892 0.892
0.000 0.541 0.541
0.500 0.460 0.460
0.000 0.251 0.251
0.500 0.748 0.748
```

***

No. 2
The following is a PBE-GGA calculation of a geometry-optimized Li2HfPbF8 structure, from the Open Quantum Materials Database.

Computed properties:
As for the symmetry: I-4, No. 82. The magnetic moment is 0.000 μB/atom.

```
Li2HfPbF8
1.0
-1.789 1.703 5.901
3.006 5.278 2.006
-3.221 -1.482 -5.325
Hf Li F Pb
1 2 8 1
direct
0.000 0.000 0.000
0.500 0.500 0.000
0.750 0.250 0.500
0.934 0.029 0.649
0.622 0.712 0.463
0.971 0.620 0.905
0.715 0.066 0.095
0.249 0.159 0.537
0.841 0.378 0.090
0.288 0.751 0.910
0.380 0.285 0.351
0.250 0.750 0.500
```

***

No. 3
The following is a PBE-GGA calculation of a geometry-optimized Rb2HgBr4 structure, from the Open Quantum Materials Database.

Computed properties:
As for the symmetry: P2_1/m, No. 11.

```
Rb2HgBr4
1.0
7.914 0.000 0.000
0.000 7.748 0.000
-2.976 0.000 9.123
Br Rb Hg
8 4 2
direct
0.498 0.990 0.241
0.079 0.750 0.414
0.074 0.750 0.878
0.502 0.010 0.759
0.502 0.490 0.759
0.498 0.510 0.241
0.926 0.250 0.122
0.921 0.250 0.586
0.245 0.250 0.937
0.755 0.750 0.063
0.279 0.250 0.443
0.721 0.750 0.557
0.734 0.250 0.304
0.266 0.750 0.696
```

***

no.,total energy (eV for the cell shown)
1,-44.275
2,-70.013
3,-34.843